Here is a relaxed structure of AcZn6Ni6 from the Alexandria database. Energies are from GGA-PBE.

Cell: 5.009 6.610 6.610 Å, 80.03 67.73 67.73°
Atoms (fractional coordinates):
Ac  0.000  0.000  0.000
Zn  0.356  0.644  0.644
Zn  0.644  0.356  0.356
Zn  0.000  0.350  0.650
Zn  0.000  0.650  0.350
Zn  0.282  0.218  0.218
Zn  0.718  0.782  0.782
Ni  0.000  0.500  0.000
Ni  0.500  0.500  0.000
Ni  0.000  0.000  0.500
Ni  0.500  0.000  0.500
Ni  0.500  0.764  0.236
Ni  0.500  0.236  0.764

Summary:
The calculation puts the formation energy at -0.235 eV per atom. Its density of states at the Fermi level is 6.36 states/eV per cell. The calculated density is 8.61 Mg/m³. The symmetry is Immm (71).